Entry 1:
DFT (GGA-PBE) results for an optimized crystal structure of Ce2Dy2ZnSi4.

```
Ce2Dy2ZnSi4
1.0
-3.437 3.437 4.259
3.437 -3.437 4.259
3.437 3.437 -4.259
Ce Dy Zn Si
2 2 1 4
Direct
0.181 0.181 0.000 Ce
0.819 0.819 0.000 Ce
0.250 0.750 0.500 Dy
0.750 0.250 0.500 Dy
0.500 0.500 0.000 Zn
0.258 0.258 0.515 Si
0.258 0.742 0.000 Si
0.742 0.258 0.000 Si
0.742 0.742 0.485 Si
```

Values from the calculation:
Crystal system: tetragonal
Electronic total energy in eV/f.u.: -45.4

=====

Entry 2:
DFT (GGA-PBE) results for an optimized crystal structure of Np3B2AsRh9.

```
Np3B2AsRh9
1.0
6.589 0.000 0.000
-3.294 5.706 0.000
0.000 0.000 6.553
Np B As Rh
3 2 1 9
Direct
0.000 0.000 0.000 Np
0.333 0.667 0.689 Np
0.667 0.333 0.311 Np
0.333 0.667 0.139 B
0.667 0.333 0.861 B
0.000 0.000 0.500 As
0.000 0.500 0.000 Rh
0.191 0.382 0.345 Rh
0.191 0.809 0.345 Rh
0.382 0.191 0.655 Rh
0.500 0.000 0.000 Rh
0.500 0.500 0.000 Rh
0.618 0.809 0.345 Rh
0.809 0.191 0.655 Rh
0.809 0.618 0.655 Rh
```

Values from the calculation:
Crystal system: trigonal
Energy of formation from the pure elements in eV per atom: -0.3525

=====

Entry 3:
DFT (GGA-PBE) results for an optimized crystal structure of Ac2NdSm.

```
Ac2NdSm
1.0
3.874 -5.251 0.000
3.874 5.251 0.000
0.000 0.000 3.875
Ac Nd Sm
2 1 1
Direct
0.000 0.500 0.000 Ac
0.500 0.000 0.000 Ac
0.000 0.000 0.500 Nd
0.500 0.500 0.500 Sm
```

Values from the calculation:
Crystal system: orthorhombic
Energy above the most stable polymorph in this dataset in kJ per mole of atoms: 0.5
Energy of formation from the pure elements in eV per atom: 0.0332

=====

Entry 4:
DFT (GGA-PBE) results for an optimized crystal structure of Ba2LaPt.

```
Ba2LaPt
1.0
2.830 -7.708 0.000
2.830 7.708 0.000
0.000 0.000 4.557
Ba La Pt
2 1 1
Direct
0.143 0.857 0.000 Ba
0.857 0.143 0.000 Ba
0.500 0.500 0.500 La
0.000 0.000 0.500 Pt
```

Values from the calculation:
Crystal system: orthorhombic
Energy above the most stable polymorph in this dataset in kJ per mole of atoms: 15.1
Energy of formation from the pure elements in eV per atom: -0.4208

=====

Entry 5:
DFT (GGA-PBE) results for an optimized crystal structure of Te2RuSe.

```
Te2RuSe
1.0
3.551 -3.555 0.000
3.551 3.555 0.000
0.000 0.000 3.294
Te Ru Se
2 1 1
Direct
0.000 0.500 0.000 Te
0.500 0.000 0.000 Te
0.000 0.000 0.500 Ru
0.500 0.500 0.500 Se
```

Values from the calculation:
Crystal system: orthorhombic
Electronic total energy in eV/f.u.: -16.8

=====

Entry 6:
DFT (GGA-PBE) results for an optimized crystal structure of AlSi2Te.

```
AlSi2Te
1.0
3.527 0.000 0.000
0.000 3.617 0.000
0.000 0.000 6.042
Al Si Te
1 2 1
Direct
0.000 0.000 0.000 Al
0.500 0.500 0.201 Si
0.500 0.500 0.799 Si
0.000 0.000 0.500 Te
```

Values from the calculation:
Crystal system: orthorhombic
Energy above the most stable polymorph in this dataset in kJ per mole of atoms: 28.6

=====

Entry 7:
DFT (GGA-PBE) results for an optimized crystal structure of SmHoSc2As4.

```
SmHoSc2As4
1.0
6.950 0.000 0.000
0.000 4.029 0.000
-2.333 0.000 6.571
Sm Ho Sc As
1 1 2 4
Direct
0.000 0.000 0.000 Sm
0.000 0.500 0.500 Ho
0.500 0.000 0.500 Sc
0.500 0.500 0.000 Sc
0.266 0.000 0.752 As
0.269 0.500 0.260 As
0.731 0.500 0.740 As
0.734 0.000 0.248 As
```

Values from the calculation:
Crystal system: monoclinic
Energy of formation from the pure elements in eV per atom: -1.4334

=====

Entry 8:
DFT (GGA-PBE) results for an optimized crystal structure of NbCrPd6.

```
NbCrPd6
1.0
3.673 2.121 2.722
-3.673 2.121 2.722
0.000 -4.242 2.722
Nb Cr Pd
1 1 6
Direct
0.000 0.000 0.000 Nb
0.500 0.500 0.500 Cr
0.030 0.469 0.749 Pd
0.251 0.970 0.531 Pd
0.469 0.749 0.030 Pd
0.531 0.251 0.970 Pd
0.749 0.030 0.469 Pd
0.970 0.531 0.251 Pd
```

Values from the calculation:
Crystal system: trigonal
Energy above the most stable polymorph in this dataset in kJ per mole of atoms: 14.4
Energy of formation from the pure elements in eV per atom: -0.1291

=====

Entry 9:
DFT (GGA-PBE) results for an optimized crystal structure of LiTl2Ir.

```
LiTl2Ir
1.0
-1.553 2.307 6.054
1.553 -2.307 6.054
1.553 2.307 -6.054
Li Tl Ir
1 2 1
Direct
0.000 0.000 0.000 Li
0.385 0.385 0.000 Tl
0.666 0.166 0.500 Tl
0.179 0.679 0.500 Ir
```

Values from the calculation:
Crystal system: orthorhombic
Energy of formation from the pure elements in eV per atom: 0.1365

=====

| no. | V (Å³ per atom) |
| --- | --- |
| 1 | 22.4 |
| 2 | 16.4 |
| 3 | 39.4 |
| 4 | 49.7 |
| 5 | 20.8 |
| 6 | 19.3 |
| 7 | 23.0 |
| 8 | 15.9 |
| 9 | 21.7 |